1.
## PaTl2SeO6 (PBE)

Data for a relaxed structure of PaTl2SeO6.

a = 5.954 Å, b = 5.954 Å, c = 5.954 Å
α = 60.00°, β = 60.00°, γ = 60.00°
Positions (direct):
Pa  0.000  0.000  0.000
Tl  0.250  0.250  0.250
Tl  0.750  0.750  0.750
Se  0.500  0.500  0.500
O  0.259  0.259  0.741
O  0.259  0.741  0.259
O  0.259  0.741  0.741
O  0.741  0.259  0.259
O  0.741  0.259  0.741
O  0.741  0.741  0.259

E_form (uncorrected)   -1536 meV per atom
Space group   No. 225



2.
## Nd5Y6Th (PBE)

Data for a relaxed structure of Nd5Y6Th.

a = 6.286 Å, b = 6.286 Å, c = 11.878 Å
α = 95.06°, β = 95.06°, γ = 119.98°
Positions (direct):
Nd  0.000  0.000  0.000
Nd  0.167  0.833  0.500
Nd  0.333  0.667  0.000
Nd  0.667  0.333  0.000
Nd  0.833  0.167  0.500
Y  0.088  0.418  0.252
Y  0.253  0.253  0.748
Y  0.418  0.088  0.252
Y  0.582  0.912  0.748
Y  0.747  0.747  0.252
Y  0.912  0.582  0.748
Th  0.500  0.500  0.500

Total DFT energy (no corrections)   -69.80 eV per cell
Space group   No. 12



3.
## KErRuO6 (PBE)

Data for a relaxed structure of KErRuO6.

a = 5.574 Å, b = 5.574 Å, c = 5.820 Å
α = 90.00°, β = 90.00°, γ = 120.00°
Positions (direct):
K  0.000  0.000  0.000
Er  0.333  0.667  0.500
Ru  0.667  0.333  0.500
O  0.406  0.044  0.688
O  0.406  0.362  0.312
O  0.638  0.044  0.312
O  0.638  0.594  0.688
O  0.956  0.362  0.688
O  0.956  0.594  0.312

E_form (uncorrected)   -1527 meV per atom
Space group   No. 149



4.
## Pm4AsRu (PBE)

Data for a relaxed structure of Pm4AsRu.

a = 8.008 Å, b = 8.008 Å, c = 8.008 Å
α = 106.86°, β = 106.86°, γ = 114.83°
Positions (direct):
Pm  0.194  0.000  0.194
Pm  0.226  0.524  0.298
Pm  0.226  0.927  0.702
Pm  0.274  0.476  0.798
Pm  0.677  0.476  0.202
Pm  0.750  0.056  0.306
Pm  0.750  0.444  0.694
Pm  0.806  0.000  0.806
As  0.491  0.991  0.500
As  0.741  0.741  0.000
Ru  0.239  0.239  0.000
Ru  0.989  0.489  0.500

Total DFT energy (no corrections)   -71.19 eV per cell
Space group   No. 109



5.
## BaMn2Be (PBE)

Data for a relaxed structure of BaMn2Be.

a = 4.131 Å, b = 4.131 Å, c = 6.827 Å
α = 115.87°, β = 115.87°, γ = 60.18°
Positions (direct):
Ba  0.000  0.000  0.000
Mn  0.560  0.560  0.472
Mn  0.895  0.895  0.467
Be  0.258  0.258  0.533

Total DFT energy (no corrections)   -22.84 eV per cell
Space group   No. 8



6.
## Nd2Dy2Cd (PBE)

Data for a relaxed structure of Nd2Dy2Cd.

a = 11.967 Å, b = 11.967 Å, c = 11.967 Å
α = 162.51°, β = 162.51°, γ = 24.83°
Positions (direct):
Nd  0.193  0.193  0.000
Nd  0.807  0.807  0.000
Dy  0.414  0.414  0.000
Dy  0.586  0.586  0.000
Cd  0.000  0.000  0.000

Excess energy over the best structure of this formula in the dataset   0.000 eV/atom
Space group   No. 139